# 1
VASP calculation (GGA-PBE) on a relaxed Rb2Cd2Au15 crystal.

As for the formation energy: -0.13 eV per atom.

abc: 7.447 7.447 7.447
angles: 83.37 83.37 83.37
Positions (direct):
1 Rb 0.150 0.150 0.150
2 Rb 0.850 0.850 0.850
3 Cd 0.400 0.400 0.400
4 Cd 0.600 0.600 0.600
5 Au 0.000 0.500 0.500
6 Au 0.157 0.157 0.652
7 Au 0.157 0.652 0.157
8 Au 0.197 0.500 0.803
9 Au 0.197 0.803 0.500
10 Au 0.348 0.843 0.843
11 Au 0.500 0.000 0.500
12 Au 0.500 0.197 0.803
13 Au 0.500 0.500 0.000
14 Au 0.500 0.803 0.197
15 Au 0.652 0.157 0.157
16 Au 0.803 0.197 0.500
17 Au 0.803 0.500 0.197
18 Au 0.843 0.348 0.843
19 Au 0.843 0.843 0.348



# 2
VASP calculation (GGA-PBE) on a relaxed Zr2CdFe crystal.

As for the formation energy: 0.04 eV per atom.

abc: 8.824 8.824 8.824
angles: 21.48 21.48 21.48
Positions (direct):
1 Zr 0.234 0.234 0.234
2 Zr 0.766 0.766 0.766
3 Cd 0.000 0.000 0.000
4 Fe 0.500 0.500 0.500



# 3
VASP calculation (GGA-PBE) on a relaxed CeSmU2As4 crystal.

As for the formation energy: -1.10 eV per atom.

abc: 7.135 4.118 7.294
angles: 90.00 109.03 90.00
Positions (direct):
1 Ce 0.000 0.000 0.000
2 Sm 0.500 0.500 0.000
3 U 0.000 0.500 0.500
4 U 0.500 0.000 0.500
5 As 0.247 0.000 0.741
6 As 0.253 0.500 0.258
7 As 0.747 0.500 0.742
8 As 0.753 0.000 0.259



# 4
VASP calculation (GGA-PBE) on a relaxed CuPb2S crystal.

Its formation energy without anion corrections is 0.5 eV/f.u.

abc: 7.567 7.567 7.567
angles: 130.04 130.04 73.35
Positions (direct):
1 Cu 0.000 0.000 0.000
2 Cu 0.750 0.250 0.500
3 Pb 0.107 0.625 0.982
4 Pb 0.375 0.357 0.482
5 Pb 0.643 0.125 0.018
6 Pb 0.875 0.893 0.518
7 S 0.250 0.750 0.500
8 S 0.500 0.500 0.000



Number 1: total magnetic moment 0.00 μB per formula unit, calculated total energy -2.91 eV per atom. Number 2: total magnetic moment 0.27 μB per formula unit, calculated total energy -6.57 eV per atom. Number 3: total magnetic moment 5.74 μB per formula unit, calculated total energy -7.58 eV per atom. Number 4: total magnetic moment 0.00 μB per formula unit, calculated total energy -3.79 eV per atom.